Record 1
Compound: Na7Tl16In6
Source: Alexandria via LeMat-Bulk
Functional: PBE
Structure: optimized geometry

The space group is Fm-3m (No. 225) and the conventional cell measures 15.112, 15.112 and 15.112 Å, with angles of 90.00, 90.00 and 90.00 degrees. The inequivalent atoms are Na at (0.000, 0.000, 0.000), Na at (0.000, 0.250, 0.250), Tl at (0.115, 0.115, 0.385), Tl at (0.135, 0.135, 0.135) and In at (0.000, 0.000, 0.235).

As for the final energy: -2.236 eV/atom. For the total magnetization, the calculation gives 0.000 μB per cell.



Record 2
Compound: NaTlIn6
Source: Alexandria via LeMat-Bulk
Functional: PBE
Structure: optimized geometry

The space group is Amm2 (No. 38) and the conventional cell measures 5.638, 6.718 and 11.627 Å, with angles of 90.00, 90.00 and 90.00 degrees. The inequivalent atoms are Na at (0.000, 0.000, 0.000), Tl at (0.500, 0.000, 0.332), In at (0.000, 0.000, 0.502), In at (0.000, 0.247, 0.749), In at (0.500, 0.000, 0.829) and In at (0.500, 0.245, 0.584).

As for the final energy: -2.541 eV/atom. For the total magnetization, the calculation gives 0.000 μB per cell.



Record 3
Compound: NaTl7In2
Source: Alexandria via LeMat-Bulk
Functional: PBE
Structure: optimized geometry

The space group is P3m1 (No. 156) and the conventional cell measures 5.2565, 5.2565 and 13.0635 Å, with angles of 90.00, 90.00 and 120.00 degrees. The inequivalent atoms are Na at (0.0000, 0.0000, 0.0000), Tl at (0.0000, 0.0000, 0.2769), Tl at (0.0000, 0.0000, 0.7005), Tl at (0.3333, 0.6667, 0.0980), Tl at (0.3333, 0.6667, 0.3621), Tl at (0.3333, 0.6667, 0.8387), Tl at (0.6667, 0.3333, 0.5034), Tl at (0.6667, 0.3333, 0.9048), In at (0.3333, 0.6667, 0.6013) and In at (0.6667, 0.3333, 0.1802).

As for the final energy: -2.304 eV/atom. For the total magnetization, the calculation gives 0.000 μB per cell.



Record 4
Compound: Na3Tl8In3
Source: Alexandria via LeMat-Bulk
Functional: PBE
Structure: optimized geometry

The space group is Immm (No. 71) and the conventional cell measures 5.062, 12.368 and 13.709 Å, with angles of 90.00, 90.00 and 90.00 degrees. The inequivalent atoms are Na at (0.000, 0.000, 0.000), Na at (0.000, 0.000, 0.282), Tl at (0.000, 0.291, 0.151), Tl at (0.000, 0.374, 0.377), In at (0.000, 0.148, 0.500) and In at (0.000, 0.500, 0.000).

As for the final energy: -2.262 eV/atom. For the total magnetization, the calculation gives 0.000 μB per cell.



Record 5
Compound: Na5Tl6In
Source: Alexandria via LeMat-Bulk
Functional: PBE
Structure: optimized geometry

The space group is Cmmm (No. 65) and the conventional cell measures 4.982, 15.238 and 8.913 Å, with angles of 90.00, 90.00 and 90.00 degrees. The inequivalent atoms are Na at (0.000, 0.000, 0.000), Na at (0.000, 0.334, 0.000), Na at (0.000, 0.336, 0.500), Tl at (0.000, 0.164, 0.254), Tl at (0.000, 0.500, 0.257) and In at (0.000, 0.000, 0.500).

As for the final energy: -2.066 eV/atom. For the total magnetization, the calculation gives 0.000 μB per cell.



Record 6
Compound: Na5Tl3In6
Source: Alexandria via LeMat-Bulk
Functional: PBE
Structure: optimized geometry

The space group is Immm (No. 71) and the conventional cell measures 4.926, 11.336 and 15.473 Å, with angles of 90.00, 90.00 and 90.00 degrees. The inequivalent atoms are Na at (0.000, 0.000, 0.000), Na at (0.000, 0.146, 0.296), Tl at (0.000, 0.500, 0.000), Tl at (0.000, 0.500, 0.328), In at (0.000, 0.252, 0.105) and In at (0.000, 0.313, 0.500).

As for the final energy: -2.169 eV/atom. For the total magnetization, the calculation gives 0.000 μB per cell.



Record 7
Compound: NaTl4In2
Source: Alexandria via LeMat-Bulk
Functional: PBE
Structure: optimized geometry

The space group is Cmmm (No. 65) and the conventional cell measures 5.578, 22.052 and 3.347 Å, with angles of 90.00, 90.00 and 90.00 degrees. The inequivalent atoms are Na at (0.000, 0.000, 0.000), Tl at (0.000, 0.143, 0.500), Tl at (0.000, 0.293, 0.000) and In at (0.000, 0.430, 0.500).

As for the final energy: -2.353 eV/atom. For the total magnetization, the calculation gives 0.000 μB per cell.



Record 8
Compound: Na3TlIn2
Source: Alexandria via LeMat-Bulk
Functional: PBE
Structure: optimized geometry

The space group is P2_1/m (No. 11) and the conventional cell measures 6.988, 5.385 and 8.957 Å, with angles of 90.00, 102.43 and 90.00 degrees. The inequivalent atoms are Na at (0.026, 0.250, 0.126), Na at (0.208, 0.250, 0.781), Na at (0.368, 0.250, 0.450), Tl at (0.296, 0.750, 0.202), In at (0.133, 0.750, 0.538) and In at (0.468, 0.750, 0.872).

As for the final energy: -2.062 eV/atom. For the total magnetization, the calculation gives 0.000 μB per cell.



Record 9
Compound: Na3Tl4In2
Source: Alexandria via LeMat-Bulk
Functional: PBE
Structure: optimized geometry

The space group is C2/m (No. 12) and the conventional cell measures 9.436, 5.404 and 9.876 Å, with angles of 90.00, 90.29 and 90.00 degrees. The inequivalent atoms are Na at (0.000, 0.000, 0.000), Na at (0.162, 0.500, 0.767), Tl at (0.006, 0.000, 0.332), Tl at (0.168, 0.500, 0.096) and In at (0.171, 0.500, 0.429).

As for the final energy: -2.187 eV/atom. For the total magnetization, the calculation gives 0.000 μB per cell.



Record 10
Compound: Na3TlIn
Source: Alexandria via LeMat-Bulk
Functional: PBE
Structure: optimized geometry

The space group is Ima2 (No. 46) and the conventional cell measures 11.661, 8.371 and 6.728 Å, with angles of 90.00, 90.00 and 90.00 degrees. The inequivalent atoms are Na at (0.020, 0.248, 0.000), Na at (0.250, 0.067, 0.746), Tl at (0.250, 0.059, 0.247) and In at (0.250, 0.750, 0.495).

As for the final energy: -1.814 eV/atom. For the total magnetization, the calculation gives 0.000 μB per cell.



Record 11
Compound: Na5Tl3In
Source: Alexandria via LeMat-Bulk
Functional: PBE
Structure: optimized geometry

The space group is C2/c (No. 15) and the conventional cell measures 8.510, 9.558 and 12.954 Å, with angles of 90.00, 96.07 and 90.00 degrees. The inequivalent atoms are Na at (0.000, 0.166, 0.250), Na at (0.155, 0.333, 0.582), Na at (0.183, 0.335, 0.090), Tl at (0.000, 0.000, 0.000), Tl at (0.167, 0.497, 0.334) and In at (0.000, 0.160, 0.750).

As for the final energy: -1.898 eV/atom. For the total magnetization, the calculation gives 0.000 μB per cell.



Record 12
Compound: Na4TlIn5
Source: Alexandria via LeMat-Bulk
Functional: PBE
Structure: optimized geometry

The space group is C2/m (No. 12) and the conventional cell measures 16.478, 3.635 and 11.485 Å, with angles of 90.00, 120.45 and 90.00 degrees. The inequivalent atoms are Na at (0.111, 0.000, 0.327), Na at (0.118, 0.500, 0.834), Tl at (0.000, 0.000, 0.000), In at (0.000, 0.000, 0.500), In at (0.176, 0.500, 0.597) and In at (0.196, 0.500, 0.154).

As for the final energy: -2.160 eV/atom. For the total magnetization, the calculation gives 0.000 μB per cell.